No. 1
! TlGeO3 (PBE, optimized geometry); values from VASP
! Magnetic moment ... 0.000 μB/f.u.
! Energy relative to the elements, uncorrected ... -943 meV/atom
! Electronic total energy ... -5.31 eV/atom
&SYSTEM
  ibrav = 0, nat = 5, ntyp = 3
/
ATOMIC_SPECIES
O 16.00 O.upf
Ge 72.64 Ge.upf
Tl 204.38 Tl.upf
CELL_PARAMETERS angstrom
-1.835 1.123 3.158
-0.926 -3.630 0.752
3.221 -0.405 2.015
ATOMIC_POSITIONS crystal
O 0.000 0.000 0.500
O 0.000 0.500 0.000
O 0.500 0.000 0.000
Ge 0.000 0.000 0.000
Tl 0.500 0.500 0.500

=====

No. 2
! TaIrBr2 (PBE, optimized geometry); values from VASP
! Magnetic moment ... 0.000 μB/f.u.
! Energy relative to the lowest polymorph listed for this composition ... 1665 meV/atom
! Energy relative to the elements, uncorrected ... 1230 meV/atom
! Electronic total energy ... -4.78 eV/atom
&SYSTEM
  ibrav = 0, nat = 8, ntyp = 3
/
ATOMIC_SPECIES
Br 79.90 Br.upf
Ir 192.22 Ir.upf
Ta 180.95 Ta.upf
CELL_PARAMETERS angstrom
6.147 0.000 0.000
0.000 6.147 0.000
3.074 3.074 4.951
ATOMIC_POSITIONS crystal
Br 0.118 0.625 0.250
Br 0.375 0.368 0.750
Br 0.632 0.125 0.250
Br 0.875 0.882 0.750
Ir 0.000 0.000 0.000
Ir 0.750 0.250 0.500
Ta 0.500 0.500 0.000
Ta 0.250 0.750 0.500

=====

No. 3
! Ag5HgSbO6 (PBE, optimized geometry); values from VASP
! Magnetic moment ... 0.000 μB/f.u.
! Energy relative to the elements, uncorrected ... -484 meV/atom
! Electronic total energy ... -4.21 eV/atom
&SYSTEM
  ibrav = 0, nat = 26, ntyp = 4
/
ATOMIC_SPECIES
Ag 107.87 Ag.upf
O 16.00 O.upf
Hg 200.59 Hg.upf
Sb 121.76 Sb.upf
CELL_PARAMETERS angstrom
-2.436 4.564 3.097
-1.735 -5.666 1.115
9.007 -1.057 8.644
ATOMIC_POSITIONS crystal
Ag 0.500 0.500 0.500
Ag 0.000 0.000 0.119
Ag 0.000 0.000 0.619
Ag 0.500 0.000 0.500
Ag 0.500 0.500 0.000
Ag 0.000 0.500 0.500
Ag 0.000 0.500 0.000
Ag 0.000 0.000 0.881
Ag 0.000 0.000 0.381
Ag 0.500 0.000 0.000
O 0.349 0.954 0.842
O 0.395 0.349 0.158
O 0.046 0.651 0.658
O 0.046 0.395 0.842
O 0.395 0.046 0.342
O 0.651 0.605 0.342
O 0.954 0.349 0.342
O 0.605 0.651 0.842
O 0.651 0.046 0.158
O 0.349 0.395 0.658
O 0.605 0.954 0.658
O 0.954 0.605 0.158
Hg 0.333 0.667 0.250
Hg 0.667 0.333 0.750
Sb 0.333 0.667 0.750
Sb 0.667 0.333 0.250

=====

No. 4
! AlCuSe2 (PBE, optimized geometry); values from VASP
! Magnetic moment ... 0.000 μB/f.u.
! Energy relative to the elements, uncorrected ... -138 meV/atom
! Electronic total energy ... -3.84 eV/atom
&SYSTEM
  ibrav = 0, nat = 4, ntyp = 3
/
ATOMIC_SPECIES
Cu 63.55 Cu.upf
Se 78.96 Se.upf
Al 26.98 Al.upf
CELL_PARAMETERS angstrom
5.682 -0.215 0.178
-1.135 5.572 -0.178
-0.016 -4.595 3.354
ATOMIC_POSITIONS crystal
Cu 0.250 0.750 0.500
Se 0.501 0.501 0.000
Se 0.999 0.999 0.000
Al 0.750 0.250 0.500

=====

No. 5
! Ac5GaSn3 (PBE, optimized geometry); values from VASP
! Magnetic moment ... 0.002 μB/f.u.
! Formation energy from the elements ... -0.597 eV/atom
! Electronic total energy ... -4.55 eV/atom
&SYSTEM
  ibrav = 0, nat = 18, ntyp = 3
/
ATOMIC_SPECIES
Sn 118.71 Sn.upf
Ac 227.00 Ac.upf
Ga 69.72 Ga.upf
CELL_PARAMETERS angstrom
-4.829 5.042 -2.007
-4.197 -0.365 9.182
7.530 6.473 -1.858
ATOMIC_POSITIONS crystal
Sn 0.250 0.000 0.385
Sn 0.250 0.615 0.615
Sn 0.750 0.000 0.615
Sn 0.750 0.615 0.000
Sn 0.250 0.385 0.000
Sn 0.750 0.385 0.385
Ac 0.500 0.667 0.333
Ac 0.250 0.262 0.262
Ac 0.250 0.000 0.738
Ac 0.750 0.738 0.738
Ac 0.750 0.000 0.262
Ac 0.500 0.333 0.667
Ac 0.000 0.667 0.333
Ac 0.750 0.262 0.000
Ac 0.250 0.738 0.000
Ac 0.000 0.333 0.667
Ga 0.000 0.000 0.000
Ga 0.500 0.000 0.000

=====

No. 6
! LiInBi2Br (PBE, optimized geometry); values from VASP
! Magnetic moment ... 0.000 μB/f.u.
! Energy relative to the elements, uncorrected ... 122 meV/atom
! Electronic total energy ... -2.70 eV/atom
&SYSTEM
  ibrav = 0, nat = 5, ntyp = 4
/
ATOMIC_SPECIES
In 114.82 In.upf
Br 79.90 Br.upf
Bi 208.98 Bi.upf
Li 6.94 Li.upf
CELL_PARAMETERS angstrom
6.086 0.000 0.000
0.000 4.453 0.000
0.000 0.000 6.086
ATOMIC_POSITIONS crystal
In 0.500 0.500 0.500
Br 0.000 0.000 0.000
Bi 0.000 0.000 0.500
Bi 0.500 0.000 0.000
Li 0.000 0.500 0.000

=====

No. 7
! Ce3AsH (PBE, optimized geometry); values from VASP
! Magnetic moment ... 2.259 μB/f.u.
! Energy relative to the lowest polymorph listed for this composition ... 9 meV/atom
! Electronic total energy ... -5.73 eV/atom
&SYSTEM
  ibrav = 0, nat = 5, ntyp = 3
/
ATOMIC_SPECIES
H 1.01 H.upf
Ce 140.12 Ce.upf
As 74.92 As.upf
CELL_PARAMETERS angstrom
4.664 0.000 0.000
0.000 4.664 0.000
0.000 0.000 4.664
ATOMIC_POSITIONS crystal
H 0.000 0.000 0.000
Ce 0.500 0.000 0.000
Ce 0.000 0.000 0.500
Ce 0.000 0.500 0.000
As 0.500 0.500 0.500

=====

No. 8
! CeAlIn2S6 (PBE, optimized geometry); values from VASP
! Magnetic moment ... 1.001 μB/f.u.
! Energy relative to the elements, uncorrected ... -956 meV/atom
! Electronic total energy ... -4.95 eV/atom
&SYSTEM
  ibrav = 0, nat = 20, ntyp = 4
/
ATOMIC_SPECIES
S 32.06 S.upf
In 114.82 In.upf
Al 26.98 Al.upf
Ce 140.12 Ce.upf
CELL_PARAMETERS angstrom
-4.053 -4.602 4.195
3.977 -7.773 -0.034
3.369 0.136 8.054
ATOMIC_POSITIONS crystal
S 0.468 0.476 0.250
S 0.465 0.880 0.366
S 0.151 0.949 0.835
S 0.532 0.524 0.750
S 0.349 0.165 0.051
S 0.032 0.750 0.524
S 0.965 0.366 0.880
S 0.535 0.120 0.634
S 0.849 0.051 0.165
S 0.035 0.634 0.120
S 0.651 0.835 0.949
S 0.968 0.250 0.476
In 0.686 0.258 0.377
In 0.314 0.742 0.623
In 0.814 0.623 0.742
In 0.186 0.377 0.258
Al 0.750 0.824 0.176
Al 0.250 0.176 0.824
Ce 0.250 0.840 0.160
Ce 0.750 0.160 0.840

=====

No. 9
! TlNiAu2 (PBE, optimized geometry); values from VASP
! Magnetic moment ... 0.000 μB/f.u.
! Energy relative to the lowest polymorph listed for this composition ... 77 meV/atom
! Formation energy from the elements ... 0.199 eV/atom
! Electronic total energy ... -3.48 eV/atom
&SYSTEM
  ibrav = 0, nat = 4, ntyp = 3
/
ATOMIC_SPECIES
Au 196.97 Au.upf
Tl 204.38 Tl.upf
Ni 58.69 Ni.upf
CELL_PARAMETERS angstrom
5.366 0.040 0.000
2.394 4.803 0.000
-3.880 -2.421 2.807
ATOMIC_POSITIONS crystal
Au 0.000 0.000 0.000
Au 0.500 0.500 0.000
Tl 0.750 0.250 0.500
Ni 0.250 0.750 0.500

=====

No. 10
! Ce12ZnOs7 (PBE, optimized geometry); values from VASP
! Magnetic moment ... 3.890 μB/f.u.
! Formation energy from the elements ... -0.101 eV/atom
! Electronic total energy ... -7.66 eV/atom
&SYSTEM
  ibrav = 0, nat = 20, ntyp = 3
/
ATOMIC_SPECIES
Ce 140.12 Ce.upf
Os 190.23 Os.upf
Zn 65.41 Zn.upf
CELL_PARAMETERS angstrom
8.674 -0.344 -0.517
-2.743 8.236 -0.517
-2.743 -3.649 7.402
ATOMIC_POSITIONS crystal
Ce 0.352 0.713 0.857
Ce 0.406 0.104 0.300
Ce 0.104 0.300 0.406
Ce 0.143 0.648 0.287
Ce 0.300 0.406 0.104
Ce 0.594 0.896 0.700
Ce 0.896 0.700 0.594
Ce 0.713 0.857 0.352
Ce 0.857 0.352 0.713
Ce 0.648 0.287 0.143
Ce 0.700 0.594 0.896
Ce 0.287 0.143 0.648
Os 0.728 0.972 0.095
Os 0.028 0.905 0.272
Os 0.095 0.728 0.972
Os 0.905 0.272 0.028
Os 0.500 0.500 0.500
Os 0.272 0.028 0.905
Os 0.972 0.095 0.728
Zn 0.000 0.000 0.000

=====

No. 11
! Er3RhSe2 (PBE, optimized geometry); values from VASP
! Magnetic moment ... 0.000 μB/f.u.
! Energy relative to the elements, uncorrected ... -1384 meV/atom
! Electronic total energy ... -6.05 eV/atom
&SYSTEM
  ibrav = 0, nat = 6, ntyp = 3
/
ATOMIC_SPECIES
Er 167.26 Er.upf
Se 78.96 Se.upf
Rh 102.91 Rh.upf
CELL_PARAMETERS angstrom
-3.128 -1.594 -1.981
2.188 -0.082 -3.385
3.269 -7.145 4.686
ATOMIC_POSITIONS crystal
Er 0.934 0.936 0.874
Er 0.587 0.589 0.180
Er 0.281 0.282 0.568
Se 0.110 0.112 0.226
Se 0.758 0.759 0.522
Rh 0.434 0.436 0.874

=====

No. 12
! Pm4CoNiCl2 (PBE, optimized geometry); values from VASP
! Magnetic moment ... 0.000 μB/f.u.
! Energy relative to the elements, uncorrected ... -883 meV/atom
! Electronic total energy ... -5.33 eV/atom
&SYSTEM
  ibrav = 0, nat = 8, ntyp = 4
/
ATOMIC_SPECIES
Co 58.93 Co.upf
Cl 35.45 Cl.upf
Pm 145.00 Pm.upf
Ni 58.69 Ni.upf
CELL_PARAMETERS angstrom
-2.434 -0.682 -3.068
-0.691 -6.552 2.004
-5.615 4.095 3.545
ATOMIC_POSITIONS crystal
Co 0.000 0.000 0.000
Cl 0.000 0.500 0.500
Cl 0.500 0.000 0.500
Pm 0.500 0.770 0.799
Pm 0.500 0.230 0.201
Pm 0.000 0.740 0.201
Pm 0.000 0.260 0.799
Ni 0.500 0.500 0.000